The following is a DFT calculation (PBEsol) of a geometry-optimized SrZrBr2 structure.

Calculated values
As for the space-group type: Pmmm (47). As for the density of states at the Fermi level: 3.447 states/eV/cell. Its energy relative to the elements, uncorrected is -0.631 eV per atom. As for the total DFT energy (no corrections): -4.30 eV/atom. The calculation puts the energy above the most stable polymorph in this dataset at 140 meV per atom. Its volume is 27.3 A^3/atom.

abc: 3.4838 4.7270 6.6224
angles: 90.00 90.00 90.00
With the nearest neighbours (Å) after each atom.
Element x y z (fractional)
Sr1 0.0000 0.0000 0.0000  4 Br 2.94
Zr1 0.5000 0.0000 0.5000  4 Br 2.94
Br1 0.0000 0.5000 0.5000  4 Zr 2.94
Br2 0.5000 0.5000 0.0000  4 Sr 2.94